La2Pr4Dy5: relaxed, GGA-PBE.

Cell: 5.8957 6.4980 10.3690 Å, 86.45 106.52 90.00°
With the nearest neighbours (Å) after each atom.
Positions (direct):
1 La 0.5974 0.4556 0.1948  7 Dy 3.64-3.92, 4 Pr 3.67-3.85, 1 La 3.88
2 La 0.4026 0.5444 0.8052  7 Dy 3.64-3.92, 4 Pr 3.67-3.85, 1 La 3.88
3 Dy 0.8670 0.8704 0.7340  5 Pr 3.33-3.43, 2 Dy 3.57-3.67, 2 La 3.67
4 Dy 0.7868 0.3952 0.5736  4 Dy 3.53-3.67, 5 Pr 3.61-3.79, 3 La 3.76-3.90
5 Dy 0.2132 0.6048 0.4264  4 Dy 3.53-3.67, 5 Pr 3.61-3.79, 3 La 3.76-3.90
6 Dy 0.1330 0.1296 0.2660  5 Pr 3.33-3.43, 2 Dy 3.57-3.67, 2 La 3.67
7 Dy 0.5000 0.0000 0.0000  4 Pr 3.44, 2 La 3.64
8 Pr 0.6952 0.9251 0.3904  7 Dy 3.41-3.79, 1 La 3.72
9 Pr 0.0315 0.7369 0.0631  5 Dy 3.33-3.66, 2 Pr 3.40-3.57, 2 La 3.67
10 Pr 0.9685 0.2631 0.9369  5 Dy 3.33-3.66, 2 Pr 3.40-3.57, 2 La 3.67
11 Pr 0.3048 0.0749 0.6096  7 Dy 3.41-3.79, 1 La 3.72

## Properties
* symmetry: C2/m (12)
* energy above the most stable polymorph in this dataset: 0.0 meV per atom
* formation energy: 0.097 eV/atom
* magnetization: 0.000 μB/atom